[1]
Here is a relaxed structure of RbHg2I from the Alexandria database. Energies are from PBE.

Calculated values
Crystal system: monoclinic
Uncorrected formation energy in eV per atom: -0.67
Calculated volume in Å³ per cell: 336.09

abc: 7.2618 6.0848 8.4182
angles: 90.00 115.38 90.00
Element x y z (fractional)
Rb  0.3180  0.7500  0.1387
Rb  0.6820  0.2500  0.8613
Hg  0.8192  0.7500  0.6054
Hg  0.2947  0.7500  0.6063
Hg  0.7053  0.2500  0.3937
Hg  0.1808  0.2500  0.3946
I  0.8120  0.7500  0.1266
I  0.1880  0.2500  0.8734

---

[2]
Here is a relaxed structure of Zr2IrCl from the Alexandria database. Energies are from PBE.

Calculated values
Crystal system: tetragonal
D(E_F) in states/eV per atom: 0.70
Uncorrected formation energy in eV per atom: -0.70
Calculated volume in Å³ per cell: 73.20

abc: 3.0757 3.0757 7.7380
angles: 90.00 90.00 90.06
Element x y z (fractional)
Ir  0.5000  0.5000  0.7500
Cl  0.5000  0.5000  0.2500
Zr  0.0000  0.0000  0.9878
Zr  0.0000  0.0000  0.5122

---

[3]
Here is a relaxed structure of La6CeNdHo2 from the Alexandria database. Energies are from PBE.

Calculated values
Crystal system: monoclinic
D(E_F) in states/eV per atom: 2.33
Formation energy in eV per atom: 0.220
Calculated volume in Å³ per cell: 356.79

abc: 9.0360 6.8506 7.0249
angles: 119.18 107.36 90.00
Site moments in Bohr magnetons follow the coordinates.
Element x y z (fractional)
La  0.1894  0.5919  0.7038  -0.02
La  0.5840  0.3373  0.6746  0.00
La  0.4160  0.6627  0.3254  0.00
La  0.8106  0.4081  0.2962  -0.02
La  0.1894  0.1118  0.7038  -0.02
La  0.8106  0.8882  0.2962  -0.02
Ho  0.8220  0.8985  0.7970  -0.02
Ho  0.1780  0.1015  0.2030  -0.02
Nd  0.5000  0.0000  0.0000  0.02
Ce  0.0000  0.5000  0.0000  -0.69

---

[4]
Here is a relaxed structure of CdMoW2 from the Alexandria database. Energies are from PBE.

Calculated values
Crystal system: tetragonal
D(E_F) in states/eV per atom: 0.65
Formation energy in eV per atom: 1.160
Calculated volume in Å³ per cell: 151.24

abc: 7.4324 7.4324 5.9259
angles: 51.16 51.16 90.00
Element x y z (fractional)
Mo  0.5000  0.5000  0.0000
Mo  0.2500  0.7500  0.5000
W  0.8750  0.8354  0.7500
W  0.3750  0.4146  0.7500
W  0.5854  0.1250  0.2500
W  0.1646  0.6250  0.2500
Cd  0.7500  0.2500  0.5000
Cd  0.0000  0.0000  0.0000

---

[5]
Here is a relaxed structure of PmNdNO from the Alexandria database. Energies are from PBE.

Calculated values
Crystal system: tetragonal
D(E_F) in states/eV per atom: 0.14
Uncorrected formation energy in eV per atom: -2.15
Calculated volume in Å³ per cell: 65.38

abc: 3.5895 3.5895 5.0742
angles: 90.00 90.00 90.00
Element x y z (fractional)
Nd  0.5000  0.5000  0.0000
N  0.5000  0.5000  0.5000
Pm  0.0000  0.0000  0.5000
O  0.0000  0.0000  0.0000

---

[6]
Here is a relaxed structure of CeSc2AgC from the Alexandria database. Energies are from PBE.

Calculated values
Crystal system: tetragonal
D(E_F) in states/eV per atom: 1.59
Formation energy in eV per atom: -0.248
Calculated volume in Å³ per cell: 102.62

abc: 4.5520 4.5520 4.9523
angles: 90.00 90.00 90.00
Site moments in Bohr magnetons follow the coordinates.
Element x y z (fractional)
Sc  0.0000  0.5000  0.9998  0.03
Sc  0.5000  0.0000  0.9998  0.03
Ce  0.0000  0.0000  0.4999  0.24
C  0.0000  0.0000  0.0001  -0.01
Ag  0.5000  0.5000  0.5004  0.01

---

Please write out number 2 again, unchanged.
Here is a relaxed structure of Zr2IrCl from the Alexandria database. Energies are from PBE.

Calculated values
Crystal system: tetragonal
D(E_F) in states/eV per atom: 0.70
Uncorrected formation energy in eV per atom: -0.70
Calculated volume in Å³ per cell: 73.20

abc: 3.0757 3.0757 7.7380
angles: 90.00 90.00 90.06
Element x y z (fractional)
Ir  0.5000  0.5000  0.7500
Cl  0.5000  0.5000  0.2500
Zr  0.0000  0.0000  0.9878
Zr  0.0000  0.0000  0.5122

---

Q: Which formula does entry 2 have?
A: Zr2IrCl

---

Q: Among the records above, which one has the lowest calculated volume?
A: PmNdNO

---

Q: Among the records above, which one has the highest calculated volume?
A: La6CeNdHo2